--- 1 ---
An optimized crystal structure of LaPaPO, computed with GGA-PBE. Values from VASP.

Quantum ESPRESSO input file:
```
&SYSTEM
  ibrav = 0, nat = 8, ntyp = 4
/
ATOMIC_SPECIES
O 16.00 O.upf
P 30.97 P.upf
La 138.91 La.upf
Pa 231.04 Pa.upf
ATOMIC_POSITIONS crystal
O 0.000 0.687 0.942
O 0.000 0.313 0.442
P 0.500 0.147 0.937
P 0.500 0.853 0.437
La 0.000 0.625 0.437
La 0.000 0.375 0.937
Pa 0.500 0.799 0.937
Pa 0.500 0.201 0.437
CELL_PARAMETERS angstrom
-3.385 -0.386 2.649
2.575 -7.130 2.251
2.992 2.398 4.174
```

=====

--- 2 ---
An optimized crystal structure of LaPaPO, computed with GGA-PBE. Values from VASP.

Quantum ESPRESSO input file:
```
&SYSTEM
  ibrav = 0, nat = 8, ntyp = 4
/
ATOMIC_SPECIES
Pa 231.04 Pa.upf
O 16.00 O.upf
La 138.91 La.upf
P 30.97 P.upf
ATOMIC_POSITIONS crystal
Pa 0.000 0.000 0.130
Pa 0.500 0.500 0.870
O 0.500 0.000 0.000
O 0.000 0.500 0.000
La 0.000 0.500 0.500
La 0.500 0.000 0.500
P 0.500 0.500 0.269
P 0.000 0.000 0.731
CELL_PARAMETERS angstrom
4.174 0.000 0.000
0.000 4.174 0.000
0.000 0.000 9.483
```

=====

--- 3 ---
An optimized crystal structure of LaPaPO, computed with GGA-PBE. Values from VASP.

Quantum ESPRESSO input file:
```
&SYSTEM
  ibrav = 0, nat = 8, ntyp = 4
/
ATOMIC_SPECIES
La 138.91 La.upf
P 30.97 P.upf
O 16.00 O.upf
Pa 231.04 Pa.upf
ATOMIC_POSITIONS crystal
La 0.500 0.000 0.883
La 0.000 0.500 0.117
P 0.500 0.000 0.298
P 0.000 0.500 0.702
O 0.000 0.000 0.000
O 0.500 0.500 0.000
Pa 0.500 0.500 0.500
Pa 0.000 0.000 0.500
CELL_PARAMETERS angstrom
-1.312 -4.041 0.409
2.460 -1.133 -3.299
7.274 -1.751 6.026
```

=====

3 is favored, and the nearest alternative lies 0.013 eV/atom above it.

=====

--- 1 ---
An optimized crystal structure of LaPmPO, computed with GGA-PBE. Values from VASP.

Quantum ESPRESSO input file:
```
&SYSTEM
  ibrav = 0, nat = 8, ntyp = 4
/
ATOMIC_SPECIES
La 138.91 La.upf
P 30.97 P.upf
O 16.00 O.upf
Pm 145.00 Pm.upf
ATOMIC_POSITIONS crystal
La 0.000 0.802 0.940
La 0.000 0.198 0.440
P 0.000 0.169 0.937
P 0.000 0.831 0.437
O 0.500 0.669 0.879
O 0.500 0.331 0.379
Pm 0.500 0.621 0.498
Pm 0.500 0.379 0.998
CELL_PARAMETERS angstrom
-2.837 2.159 2.486
4.182 -1.818 6.352
3.237 5.045 -0.687
```

=====

--- 2 ---
An optimized crystal structure of LaPmPO, computed with GGA-PBE. Values from VASP.

Quantum ESPRESSO input file:
```
&SYSTEM
  ibrav = 0, nat = 8, ntyp = 4
/
ATOMIC_SPECIES
La 138.91 La.upf
P 30.97 P.upf
O 16.00 O.upf
Pm 145.00 Pm.upf
ATOMIC_POSITIONS crystal
La 0.250 0.750 0.500
La 0.750 0.250 0.500
P 0.250 0.250 0.710
P 0.750 0.750 0.290
O 0.750 0.250 0.000
O 0.250 0.750 0.000
Pm 0.750 0.750 0.894
Pm 0.250 0.250 0.106
CELL_PARAMETERS angstrom
-0.791 2.266 -3.580
-3.655 1.476 1.743
4.668 7.311 3.596
```

=====

--- 3 ---
An optimized crystal structure of LaPmPO, computed with GGA-PBE. Values from VASP.

Quantum ESPRESSO input file:
```
&SYSTEM
  ibrav = 0, nat = 8, ntyp = 4
/
ATOMIC_SPECIES
La 138.91 La.upf
O 16.00 O.upf
P 30.97 P.upf
Pm 145.00 Pm.upf
ATOMIC_POSITIONS crystal
La 0.500 0.377 0.975
La 0.500 0.623 0.475
O 0.500 0.323 0.400
O 0.500 0.677 0.900
P 0.000 0.846 0.439
P 0.000 0.154 0.939
Pm 0.000 0.194 0.441
Pm 0.000 0.806 0.941
CELL_PARAMETERS angstrom
-4.238 0.543 -0.210
-0.569 -1.394 7.875
0.669 5.627 1.045
```

=====

1 is favored, and the nearest alternative lies 0.021 eV/atom above it.

=====

--- 1 ---
An optimized crystal structure of LaPrPO, computed with GGA-PBE. Values from VASP.

Quantum ESPRESSO input file:
```
&SYSTEM
  ibrav = 0, nat = 8, ntyp = 4
/
ATOMIC_SPECIES
La 138.91 La.upf
Pr 140.91 Pr.upf
P 30.97 P.upf
O 16.00 O.upf
ATOMIC_POSITIONS crystal
La 0.000 0.378 0.980
La 0.000 0.622 0.480
Pr 0.500 0.806 0.940
Pr 0.500 0.194 0.440
P 0.500 0.158 0.940
P 0.500 0.842 0.440
O 0.000 0.673 0.894
O 0.000 0.327 0.394
CELL_PARAMETERS angstrom
4.357 0.000 0.000
0.000 8.022 0.000
0.000 0.000 5.865
```

=====

--- 2 ---
An optimized crystal structure of LaPrPO, computed with GGA-PBE. Values from VASP.

Quantum ESPRESSO input file:
```
&SYSTEM
  ibrav = 0, nat = 8, ntyp = 4
/
ATOMIC_SPECIES
P 30.97 P.upf
O 16.00 O.upf
La 138.91 La.upf
Pr 140.91 Pr.upf
ATOMIC_POSITIONS crystal
P 0.000 0.500 0.705
P 0.500 0.000 0.295
O 0.000 0.000 0.000
O 0.500 0.500 0.000
La 0.500 0.500 0.500
La 0.000 0.000 0.500
Pr 0.500 0.000 0.891
Pr 0.000 0.500 0.109
CELL_PARAMETERS angstrom
-2.949 1.070 -3.037
-2.748 -2.982 1.618
-3.636 6.510 5.824
```

=====

--- 3 ---
An optimized crystal structure of LaPrPO, computed with GGA-PBE. Values from VASP.

Quantum ESPRESSO input file:
```
&SYSTEM
  ibrav = 0, nat = 8, ntyp = 4
/
ATOMIC_SPECIES
La 138.91 La.upf
P 30.97 P.upf
Pr 140.91 Pr.upf
O 16.00 O.upf
ATOMIC_POSITIONS crystal
La 0.000 0.800 0.941
La 0.000 0.200 0.441
P 0.000 0.840 0.440
P 0.000 0.160 0.940
Pr 0.500 0.625 0.484
Pr 0.500 0.375 0.984
O 0.500 0.329 0.390
O 0.500 0.671 0.890
CELL_PARAMETERS angstrom
4.358 0.000 0.000
0.000 7.988 0.000
0.000 0.000 5.943
```

=====

--- 4 ---
An optimized crystal structure of LaPrPO, computed with GGA-PBE. Values from VASP.

Quantum ESPRESSO input file:
```
&SYSTEM
  ibrav = 0, nat = 8, ntyp = 4
/
ATOMIC_SPECIES
Pr 140.91 Pr.upf
P 30.97 P.upf
O 16.00 O.upf
La 138.91 La.upf
ATOMIC_POSITIONS crystal
Pr 0.750 0.250 0.500
Pr 0.250 0.750 0.500
P 0.250 0.250 0.701
P 0.750 0.750 0.299
O 0.750 0.250 0.000
O 0.250 0.750 0.000
La 0.250 0.250 0.109
La 0.750 0.750 0.891
CELL_PARAMETERS angstrom
-2.492 2.893 -2.284
-2.975 0.050 3.308
4.543 7.055 3.979
```

=====

3 is favored, and the nearest alternative lies 0.010 eV/atom above it.

=====

--- 1 ---
An optimized crystal structure of LaPPtO, computed with GGA-PBE. Values from VASP.

Quantum ESPRESSO input file:
```
&SYSTEM
  ibrav = 0, nat = 8, ntyp = 4
/
ATOMIC_SPECIES
La 138.91 La.upf
P 30.97 P.upf
Pt 195.08 Pt.upf
O 16.00 O.upf
ATOMIC_POSITIONS crystal
La 0.500 0.751 0.103
La 0.500 0.249 0.603
P 0.000 0.249 0.274
P 0.000 0.751 0.774
Pt 0.000 0.749 0.439
Pt 0.000 0.251 0.939
O 0.500 0.251 0.938
O 0.500 0.749 0.438
CELL_PARAMETERS angstrom
4.753 0.000 0.000
0.000 4.161 0.000
0.000 0.000 7.137
```

=====

--- 2 ---
An optimized crystal structure of LaPPtO, computed with GGA-PBE. Values from VASP.

Quantum ESPRESSO input file:
```
&SYSTEM
  ibrav = 0, nat = 8, ntyp = 4
/
ATOMIC_SPECIES
O 16.00 O.upf
Pt 195.08 Pt.upf
La 138.91 La.upf
P 30.97 P.upf
ATOMIC_POSITIONS crystal
O 0.000 0.000 0.000
O 0.500 0.500 0.000
Pt 0.500 0.000 0.505
Pt 0.000 0.500 0.495
La 0.000 0.000 0.500
La 0.500 0.500 0.500
P 0.500 0.000 0.005
P 0.000 0.500 0.995
CELL_PARAMETERS angstrom
6.581 0.000 0.000
0.000 6.581 0.000
0.000 0.000 4.346
```

=====

--- 3 ---
An optimized crystal structure of LaPPtO, computed with GGA-PBE. Values from VASP.

Quantum ESPRESSO input file:
```
&SYSTEM
  ibrav = 0, nat = 8, ntyp = 4
/
ATOMIC_SPECIES
O 16.00 O.upf
P 30.97 P.upf
La 138.91 La.upf
Pt 195.08 Pt.upf
ATOMIC_POSITIONS crystal
O 0.500 0.500 0.000
O 0.000 0.000 0.000
P 0.000 0.500 0.646
P 0.500 0.000 0.354
La 0.500 0.000 0.858
La 0.000 0.500 0.142
Pt 0.000 0.000 0.500
Pt 0.500 0.500 0.500
CELL_PARAMETERS angstrom
4.207 0.000 0.000
0.000 4.207 0.000
0.000 0.000 8.158
```

=====

3 is favored, and the nearest alternative lies 0.331 eV/atom above it.

=====

--- 1 ---
An optimized crystal structure of LaPPtO, computed with GGA-PBE. Values from VASP.

Quantum ESPRESSO input file:
```
&SYSTEM
  ibrav = 0, nat = 8, ntyp = 4
/
ATOMIC_SPECIES
Pt 195.08 Pt.upf
O 16.00 O.upf
P 30.97 P.upf
La 138.91 La.upf
ATOMIC_POSITIONS crystal
Pt 0.500 0.223 0.852
Pt 0.500 0.777 0.352
O 0.500 0.474 0.638
O 0.500 0.526 0.138
P 0.000 0.961 0.401
P 0.000 0.039 0.901
La 0.000 0.648 0.863
La 0.000 0.352 0.363
CELL_PARAMETERS angstrom
-2.667 2.138 0.487
-4.182 -4.026 -5.233
-1.846 -3.200 3.938
```

=====

--- 2 ---
An optimized crystal structure of LaPPtO, computed with GGA-PBE. Values from VASP.

Quantum ESPRESSO input file:
```
&SYSTEM
  ibrav = 0, nat = 8, ntyp = 4
/
ATOMIC_SPECIES
P 30.97 P.upf
Pt 195.08 Pt.upf
O 16.00 O.upf
La 138.91 La.upf
ATOMIC_POSITIONS crystal
P 0.250 0.250 0.553
P 0.750 0.750 0.447
Pt 0.250 0.250 0.055
Pt 0.750 0.750 0.945
O 0.250 0.750 0.000
O 0.750 0.250 0.000
La 0.750 0.250 0.500
La 0.250 0.750 0.500
CELL_PARAMETERS angstrom
4.648 -4.648 0.000
4.648 4.648 0.000
0.000 0.000 4.340
```

=====

1 is favored, and the nearest alternative lies 0.287 eV/atom above it.

=====

--- 1 ---
An optimized crystal structure of LaRePO, computed with GGA-PBE. Values from VASP.

Quantum ESPRESSO input file:
```
&SYSTEM
  ibrav = 0, nat = 8, ntyp = 4
/
ATOMIC_SPECIES
La 138.91 La.upf
P 30.97 P.upf
O 16.00 O.upf
Re 186.21 Re.upf
ATOMIC_POSITIONS crystal
La 0.750 0.250 0.500
La 0.250 0.750 0.500
P 0.250 0.250 0.784
P 0.750 0.750 0.216
O 0.250 0.750 0.000
O 0.750 0.250 0.000
Re 0.250 0.250 0.110
Re 0.750 0.750 0.890
CELL_PARAMETERS angstrom
-3.434 1.680 -1.835
1.216 -1.595 -3.736
-3.667 -6.001 1.369
```

=====

--- 2 ---
An optimized crystal structure of LaRePO, computed with GGA-PBE. Values from VASP.

Quantum ESPRESSO input file:
```
&SYSTEM
  ibrav = 0, nat = 8, ntyp = 4
/
ATOMIC_SPECIES
Re 186.21 Re.upf
La 138.91 La.upf
O 16.00 O.upf
P 30.97 P.upf
ATOMIC_POSITIONS crystal
Re 0.000 0.716 0.941
Re 0.000 0.284 0.441
La 0.500 0.778 0.599
La 0.500 0.222 0.099
O 0.500 0.281 0.437
O 0.500 0.719 0.937
P 0.000 0.781 0.277
P 0.000 0.219 0.777
CELL_PARAMETERS angstrom
4.343 0.000 0.000
0.000 4.281 0.000
0.000 0.000 7.113
```

=====

2 is favored, and the nearest alternative lies 1.396 eV/atom above it.